Record 1
The following is a DFT calculation (PBE-GGA) of NbOs2Ru2 after structural relaxation.

Properties
Energy above the lowest structure with this stoichiometry in eV/atom: 0.363
N(E_F) in states/eV/cell: 6.7
ΔH_f (0 K) in meV per atom: 378.7
Crystal system: tetragonal

```
data_NbOs2Ru2
_cell_length_a 3.7990
_cell_length_b 3.7990
_cell_length_c 11.4825
_cell_angle_alpha 90.00
_cell_angle_beta 90.00
_cell_angle_gamma 90.00
_space_group_name_H-M_alt 'I 4/m m m'
_space_group_IT_number 139
_space_group_name_Hall '-I 4 2'
loop_
_atom_site_label
_atom_site_type_symbol
_atom_site_fract_x
_atom_site_fract_y
_atom_site_fract_z
Nb1 Nb 0.0000 0.0000 0.0000
Os1 Os 0.0000 0.0000 0.3981
Ru1 Ru 0.0000 0.5000 0.2500
```


Record 2
The following is a DFT calculation (PBE-GGA) of BaPa2CuN5 after structural relaxation.

Properties
Uncorrected formation energy in meV per atom: -905
N(E_F) in states/eV/cell: 27.1
Crystal system: tetragonal

```
data_BaPa2CuN5
_cell_length_a 6.6690
_cell_length_b 6.6690
_cell_length_c 11.6475
_cell_angle_alpha 90.00
_cell_angle_beta 90.00
_cell_angle_gamma 90.00
_space_group_name_H-M_alt 'I 4/m c m'
_space_group_IT_number 140
_space_group_name_Hall '-I 4 2c'
loop_
_atom_site_label
_atom_site_type_symbol
_atom_site_fract_x
_atom_site_fract_y
_atom_site_fract_z
Ba1 Ba 0.0000 0.0000 0.2500
Pa1 Pa 0.1769 0.3231 0.0000
Cu1 Cu 0.0000 0.5000 0.2500
N1 N 0.0000 0.0000 0.0000
N2 N 0.1396 0.3604 0.3794
```


Record 3
The following is a DFT calculation (PBE-GGA) of Ba2MoIr after structural relaxation.

Properties
Energy above the lowest structure with this stoichiometry in eV/atom: 0.635
N(E_F) in states/eV/cell: 2.4
ΔH_f (0 K) in meV per atom: 972.7
Crystal system: orthorhombic

```
data_Ba2MoIr
_cell_length_a 3.6810
_cell_length_b 3.8519
_cell_length_c 8.5605
_cell_angle_alpha 90.00
_cell_angle_beta 90.00
_cell_angle_gamma 90.00
_space_group_name_H-M_alt 'P m m m'
_space_group_IT_number 47
_space_group_name_Hall '-P 2 2'
loop_
_atom_site_label
_atom_site_type_symbol
_atom_site_fract_x
_atom_site_fract_y
_atom_site_fract_z
Ba1 Ba 0.0000 0.0000 0.2166
Mo1 Mo 0.5000 0.5000 0.5000
Ir1 Ir 0.5000 0.5000 0.0000
```


Record 4
The following is a DFT calculation (PBE-GGA) of Hf4HPb3 after structural relaxation.

Properties
Raw total energy in eV/atom: -6.7629
N(E_F) in states/eV/cell: 12.5
Crystal system: orthorhombic

```
data_Hf4HPb3
_cell_length_a 4.4216
_cell_length_b 8.6345
_cell_length_c 10.2368
_cell_angle_alpha 90.00
_cell_angle_beta 90.00
_cell_angle_gamma 90.00
_space_group_name_H-M_alt 'P m m n'
_space_group_IT_number 59
loop_
_space_group_symop_operation_xyz
'x,y,z'
'-x,-y,-z'
'-x+1/2,-y+1/2,z'
'x+1/2,y+1/2,-z'
'x+1/2,-y,-z'
'-x+1/2,y,z'
'-x,y+1/2,-z'
'x,-y+1/2,z'
loop_
_atom_site_label
_atom_site_type_symbol
_atom_site_fract_x
_atom_site_fract_y
_atom_site_fract_z
Hf1 Hf 0.2500 0.0045 0.1055
Hf2 Hf 0.2500 0.2500 0.8958
Hf3 Hf 0.2500 0.7500 0.8933
H1 H 0.2500 0.7500 0.0988
Pb1 Pb 0.2500 0.0340 0.6411
Pb2 Pb 0.2500 0.2500 0.3473
```


Record 5
The following is a DFT calculation (PBE-GGA) of PuSc2PaN4 after structural relaxation.

Properties
Uncorrected formation energy in meV per atom: -1624
N(E_F) in states/eV/cell: 6.8
Crystal system: monoclinic

```
data_PuSc2PaN4
_cell_length_a 5.7996
_cell_length_b 3.3631
_cell_length_c 5.8266
_cell_angle_alpha 90.00
_cell_angle_beta 109.42
_cell_angle_gamma 90.00
_space_group_name_H-M_alt 'P 1 2/m 1'
_space_group_IT_number 10
_space_group_name_Hall '-P 2y'
loop_
_atom_site_label
_atom_site_type_symbol
_atom_site_fract_x
_atom_site_fract_y
_atom_site_fract_z
Pu1 Pu 0.0000 0.0000 0.0000
Sc1 Sc 0.0000 0.5000 0.5000
Sc2 Sc 0.5000 0.0000 0.5000
Pa1 Pa 0.5000 0.5000 0.0000
N1 N 0.2512 0.0000 0.7344
N2 N 0.2595 0.5000 0.2611
```


Record 6
The following is a DFT calculation (PBE-GGA) of ZrTlPt2 after structural relaxation.

Properties
N(E_F) in states/eV/cell: 2.5
ΔH_f (0 K) in meV per atom: -493.6
Crystal system: monoclinic

```
data_ZrTlPt2
_cell_length_a 3.4742
_cell_length_b 4.3105
_cell_length_c 5.5712
_cell_angle_alpha 90.00
_cell_angle_beta 108.07
_cell_angle_gamma 90.00
_space_group_name_H-M_alt 'P 1 m 1'
_space_group_IT_number 6
_space_group_name_Hall 'P -2y'
loop_
_atom_site_label
_atom_site_type_symbol
_atom_site_fract_x
_atom_site_fract_y
_atom_site_fract_z
Zr1 Zr 0.0000 0.0000 0.0000
Tl1 Tl 0.2974 0.5000 0.5957
Pt1 Pt 0.5577 0.5000 0.1179
Pt2 Pt 0.7247 0.0000 0.4493
```


Record 7
The following is a DFT calculation (PBE-GGA) of Ca2MgW after structural relaxation.

Properties
N(E_F) in states/eV/cell: 11.0
ΔH_f (0 K) in meV per atom: 710.6
Crystal system: orthorhombic

```
data_Ca2MgW
_cell_length_a 3.1699
_cell_length_b 5.6123
_cell_length_c 11.4841
_cell_angle_alpha 90.00
_cell_angle_beta 90.00
_cell_angle_gamma 90.00
_space_group_name_H-M_alt 'I m m 2'
_space_group_IT_number 44
_space_group_name_Hall 'I 2 -2'
loop_
_atom_site_label
_atom_site_type_symbol
_atom_site_fract_x
_atom_site_fract_y
_atom_site_fract_z
Ca1 Ca 0.0000 0.0000 0.0000
Ca2 Ca 0.0000 0.5000 0.2057
Mg1 Mg 0.0000 0.0000 0.4395
W1 W 0.0000 0.5000 0.7386
```


Record 8
The following is a DFT calculation (PBE-GGA) of YPaMnOs after structural relaxation.

Properties
N(E_F) in states/eV/cell: 18.7
ΔH_f (0 K) in meV per atom: -4.8
Crystal system: cubic

```
data_YPaMnOs
_cell_length_a 6.8478
_cell_length_b 6.8478
_cell_length_c 6.8478
_cell_angle_alpha 90.00
_cell_angle_beta 90.00
_cell_angle_gamma 90.00
_space_group_name_H-M_alt 'F -4 3 m'
_space_group_IT_number 216
_space_group_name_Hall 'F -4 2 3'
loop_
_atom_site_label
_atom_site_type_symbol
_atom_site_fract_x
_atom_site_fract_y
_atom_site_fract_z
Y1 Y 0.0000 0.0000 0.0000
Pa1 Pa 0.0000 0.0000 0.5000
Mn1 Mn 0.2500 0.2500 0.2500
Os1 Os 0.2500 0.2500 0.7500
```


Record 9
The following is a DFT calculation (PBE-GGA) of BaTl2RhCl after structural relaxation.

Properties
Uncorrected formation energy in meV per atom: -711
N(E_F) in states/eV/cell: 1.4
Crystal system: tetragonal

```
data_BaTl2RhCl
_cell_length_a 5.2326
_cell_length_b 5.2326
_cell_length_c 6.1138
_cell_angle_alpha 90.00
_cell_angle_beta 90.00
_cell_angle_gamma 90.00
_space_group_name_H-M_alt 'P 4/m m m'
_space_group_IT_number 123
_space_group_name_Hall '-P 4 2'
loop_
_atom_site_label
_atom_site_type_symbol
_atom_site_fract_x
_atom_site_fract_y
_atom_site_fract_z
Ba1 Ba 0.0000 0.0000 0.0000
Tl1 Tl 0.0000 0.5000 0.5000
Rh1 Rh 0.0000 0.0000 0.5000
Cl1 Cl 0.5000 0.5000 0.0000
```


Record 10
The following is a DFT calculation (PBE-GGA) of CoSN after structural relaxation.

Properties
Uncorrected formation energy in meV per atom: 254
Energy above the lowest structure with this stoichiometry in eV/atom: 0.415
N(E_F) in states/eV/cell: 4.3
Crystal system: orthorhombic

```
data_CoSN
_cell_length_a 2.9507
_cell_length_b 3.4316
_cell_length_c 7.9961
_cell_angle_alpha 90.00
_cell_angle_beta 90.00
_cell_angle_gamma 90.00
_space_group_name_H-M_alt 'I m m 2'
_space_group_IT_number 44
_space_group_name_Hall 'I 2 -2'
loop_
_atom_site_label
_atom_site_type_symbol
_atom_site_fract_x
_atom_site_fract_y
_atom_site_fract_z
Co1 Co 0.0000 0.0000 0.0000
S1 S 0.0000 0.5000 0.8408
N1 N 0.0000 0.5000 0.6405
```


Record 11
The following is a DFT calculation (PBE-GGA) of Li4Ag5Au after structural relaxation.

Properties
Energy above the lowest structure with this stoichiometry in eV/atom: 0.000
N(E_F) in states/eV/cell: 4.7
ΔH_f (0 K) in meV per atom: -235.1
Crystal system: monoclinic

```
data_Li4Ag5Au
_cell_length_a 14.1476
_cell_length_b 4.3869
_cell_length_c 5.6045
_cell_angle_alpha 90.00
_cell_angle_beta 109.91
_cell_angle_gamma 90.00
_space_group_name_H-M_alt 'C 1 2/m 1'
_space_group_IT_number 12
_space_group_name_Hall '-C 2y'
loop_
_atom_site_label
_atom_site_type_symbol
_atom_site_fract_x
_atom_site_fract_y
_atom_site_fract_z
Li1 Li 0.0922 0.0000 0.3732
Li2 Li 0.1943 0.5000 0.7861
Ag1 Ag 0.0000 0.5000 0.0000
Ag2 Ag 0.1111 0.0000 0.8911
Ag3 Ag 0.2091 0.5000 0.3024
Au1 Au 0.0000 0.5000 0.5000
```


Record 12
The following is a DFT calculation (PBE-GGA) of PaAl2Pb after structural relaxation.

Properties
Energy above the lowest structure with this stoichiometry in eV/atom: 0.380
N(E_F) in states/eV/cell: 21.8
ΔH_f (0 K) in meV per atom: 288.5
Crystal system: cubic

```
data_PaAl2Pb
_cell_length_a 7.2050
_cell_length_b 7.2050
_cell_length_c 7.2050
_cell_angle_alpha 90.00
_cell_angle_beta 90.00
_cell_angle_gamma 90.00
_space_group_name_H-M_alt 'F m -3 m'
_space_group_IT_number 225
_space_group_name_Hall '-F 4 2 3'
loop_
_atom_site_label
_atom_site_type_symbol
_atom_site_fract_x
_atom_site_fract_y
_atom_site_fract_z
Pa1 Pa 0.0000 0.0000 0.0000
Al1 Al 0.2500 0.2500 0.2500
Pb1 Pb 0.0000 0.0000 0.5000
```